Material: TcPbNO
Method: DFT, PBE
State: relaxed

Results
Raw total energy in eV/atom: -7.057

Unit cell a=3.513 b=6.080 c=6.288 alpha=90.00 beta=90.00 gamma=90.00
Sites, in units of the cell vectors:
O (0.500, 0.284, 0.073)
N (0.000, 0.636, 0.208)
Tc (0.000, 0.397, 0.000)
Pb (0.500, 0.176, 0.464)
Tc (0.000, 0.603, 0.500)
N (0.000, 0.364, 0.708)
O (0.500, 0.716, 0.573)
Pb (0.500, 0.824, 0.964)